Entry P
DFT (PBE-GGA) results for an optimized crystal structure of Dy5Sn2Sb2.

Cell: 15.4184 8.1235 8.1601 Å, 90.00 90.00 90.00°
Closest atoms and distances in Å follow each position.
Space group Cmce (No. 64)
Symmetry-distinct sites (fractional):
Dy (0.0000, 0.0000, 0.0000) x4  2 Sb 3.12, 4 Sn 3.16-3.17
Dy (0.1353, 0.1665, 0.3362) x16  3 Sn 3.10-3.23, 3 Sb 3.14-3.23
Sn (0.0000, 0.1357, 0.6357) x8  8 Dy 3.10-3.23, 1 Sn 3.12
Sb (0.2026, 0.0000, 0.0000) x8  7 Dy 3.12-3.23

Entry Q
DFT (PBE-GGA) results for an optimized crystal structure of Dy5Sn2Sb2.

Cell: 15.3348 8.1702 8.2028 Å, 90.00 90.00 90.00°
Closest atoms and distances in Å follow each position.
Space group Cmce (No. 64)
Symmetry-distinct sites (fractional):
Dy (0.0000, 0.0000, 0.0000) x4  2 Sn 3.09, 4 Sb 3.15
Dy (0.1368, 0.1631, 0.3393) x16  3 Sb 3.09-3.26, 3 Sn 3.10-3.24
Sn (0.2018, 0.0000, 0.0000) x8  7 Dy 3.09-3.24
Sb (0.0000, 0.1412, 0.6420) x8  8 Dy 3.09-3.26, 1 Sb 3.28

It is entry P that is most stable; the runner-up trails by 4.4 kJ/mol of atoms.

Entry P
DFT (PBE-GGA) results for an optimized crystal structure of DySnSb2.

Cell: 4.6512 4.6512 25.6964 Å, 90.00 90.00 120.00°
Closest atoms and distances in Å follow each position.
Space group R-3m (No. 166, hexagonal axes)
Symmetry-distinct sites (fractional):
Dy (0.0000, 0.0000, 0.0000) x3  6 Sb 3.08
Sn (0.0000, 0.0000, 0.5000) x3  2 Sb 2.78
Sb (0.0000, 0.0000, 0.3917) x6  1 Sn 2.78, 3 Dy 3.08

Entry Q
DFT (PBE-GGA) results for an optimized crystal structure of DySnSb2.

Cell: 4.1477 4.1477 6.3402 Å, 90.00 90.00 90.00°
Closest atoms and distances in Å follow each position.
Space group P4/mmm (No. 123)
Symmetry-distinct sites (fractional):
Dy (0.0000, 0.0000, 0.0000) x1  2 Sn 3.17, 8 Sb 3.30
Sn (0.0000, 0.0000, 0.5000) x1  2 Dy 3.17, 8 Sb 3.37
Sb (0.5000, 0.5000, 0.2398) x2  2 Sb 3.04-3.30, 4 Dy 3.30, 4 Sn 3.37

Entry R
DFT (PBE-GGA) results for an optimized crystal structure of DySnSb2.

Cell: 5.1347 5.1347 4.0865 Å, 90.00 90.00 90.00°
Closest atoms and distances in Å follow each position.
Space group P4/mmm (No. 123)
Symmetry-distinct sites (fractional):
Dy (0.0000, 0.0000, 0.0000) x1  8 Sb 3.28, 4 Sn 3.63
Sn (0.5000, 0.5000, 0.0000) x1  8 Sb 3.28, 4 Dy 3.63
Sb (0.0000, 0.5000, 0.5000) x2  4 Sn 3.28, 4 Dy 3.28, 4 Sb 3.63

It is entry Q that is most stable; the runner-up trails by 3.7 kJ/mol of atoms.

Entry P
DFT (PBE-GGA) results for an optimized crystal structure of SrDySb2.

Cell: 4.4515 4.4515 23.5078 Å, 90.00 90.00 120.00°
Closest atoms and distances in Å follow each position.
Space group R-3m (No. 166, hexagonal axes)
Symmetry-distinct sites (fractional):
Sr (0.0000, 0.0000, 0.0000) x3  6 Sb 3.35
Dy (0.0000, 0.0000, 0.5000) x3  6 Sb 3.12
Sb (0.0000, 0.0000, 0.2416) x6  3 Dy 3.12, 3 Sr 3.35

Entry Q
DFT (PBE-GGA) results for an optimized crystal structure of SrDySb2.

Cell: 4.6618 4.6618 22.1691 Å, 90.00 90.00 120.00°
Closest atoms and distances in Å follow each position.
Space group R3m (No. 160, hexagonal axes)
Symmetry-distinct sites (fractional):
Sr (0.0000, 0.0000, 0.0000) x3  6 Sb 3.35-3.43
Dy (0.0000, 0.0000, 0.8275) x3  6 Sb 3.12-3.19
Sb (0.0000, 0.0000, 0.4231) x3  3 Dy 3.12, 1 Sb 3.28, 3 Sr 3.35
Sb (0.0000, 0.0000, 0.5711) x3  3 Dy 3.19, 1 Sb 3.28, 3 Sr 3.43

It is entry P that is most stable; the runner-up trails by 8.0 kJ/mol of atoms.